No. 1
This record from Alexandria describes a geometry-optimized Mn2MoRu2 structure. The functional is PBE.

Geometry as POSCAR:
```
Mn2MoRu2
1.0
7.1277 0.0000 0.0000
0.0000 7.1277 0.0000
0.0000 0.0000 2.6546
Mn Mo Ru
4 2 4
Direct
0.1682 0.3318 0.0000 Mn
0.3318 0.8318 0.0000 Mn
0.6682 0.1682 0.0000 Mn
0.8318 0.6682 0.0000 Mn
0.0000 0.0000 0.5000 Mo
0.5000 0.5000 0.5000 Mo
0.1285 0.6285 0.5000 Ru
0.3715 0.1285 0.5000 Ru
0.6285 0.8715 0.5000 Ru
0.8715 0.3715 0.5000 Ru
```

Energy above the most stable polymorph in this dataset: 0.0794 eV/atom
Energy relative to the elements: 0.20 eV/atom
N(E_F): 5.03 states/eV/f.u.
Raw total energy: -9.346 eV per atom
Magnetization: 2.0 μB per cell

No. 2
This record from Alexandria describes a geometry-optimized TbNdAgAu structure. The functional is PBE.

Geometry as POSCAR:
```
TbNdAgAu
1.0
3.6557 0.0000 0.0000
0.0000 3.6557 0.0000
0.0000 0.0000 7.4670
Tb Nd Ag Au
1 1 1 1
Direct
0.0000 0.0000 0.0000 Tb
0.0000 0.0000 0.5111 Nd
0.5000 0.5000 0.2386 Ag
0.5000 0.5000 0.7759 Au
```

Energy above the most stable polymorph in this dataset: 0.0000 eV/atom
Energy relative to the elements: -0.56 eV/atom
N(E_F): 2.03 states/eV/f.u.
Raw total energy: -4.439 eV per atom
Magnetization: 0.0 μB per cell

No. 3
This record from Alexandria describes a geometry-optimized LaPm2Os structure. The functional is PBE.

Geometry as POSCAR:
```
LaPm2Os
1.0
1.9374 1.1186 10.7095
-1.9374 1.1186 10.7095
0.0000 -2.2371 10.7095
La Pm Os
1 2 1
Direct
0.0000 0.0000 0.0000 La
0.1146 0.1146 0.1146 Pm
0.8854 0.8854 0.8854 Pm
0.5000 0.5000 0.5000 Os
```

Energy above the most stable polymorph in this dataset: 0.4502 eV/atom
Energy relative to the elements: 0.30 eV/atom
N(E_F): 5.27 states/eV/f.u.
Raw total energy: -6.110 eV per atom
Magnetization: 0.4 μB per cell